Entry 1:
Density functional theory data (PBE-GGA) for a geometry-optimized Cs2NpS2O2 structure.

Lattice parameters (Å, degrees): 7.2107 7.2107 7.9425 118.23 118.23 33.43
Element x y z (fractional)
Cs: 0.1767 0.1767 0.1916
Cs: 0.8233 0.8233 0.8084
Np: 0.0000 0.0000 0.5000
S: 0.4578 0.4578 0.2506
S: 0.5422 0.5422 0.7494
O: 0.1470 0.1470 0.5596
O: 0.8530 0.8530 0.4404

Properties
Formation energy (no corrections) ... -1.916 eV/atom
SG ... C2/m, No. 12



Entry 2:
Density functional theory data (PBE-GGA) for a geometry-optimized ZrRe2Si structure.

Lattice parameters (Å, degrees): 5.3039 5.3039 5.3039 145.13 131.60 61.02
Element x y z (fractional)
Zr: 0.0000 0.0000 0.0000
Re: 0.2620 0.7620 0.5000
Re: 0.5047 0.5047 0.0000
Si: 0.7313 0.2313 0.5000

Properties
Formation energy (no corrections) ... -0.168 eV/atom
SG ... Imm2, No. 44



Entry 3:
Density functional theory data (PBE-GGA) for a geometry-optimized Zr2CoHg structure.

Lattice parameters (Å, degrees): 3.4056 4.2455 5.6894 90.00 107.31 90.00
Element x y z (fractional)
Zr: 0.0000 0.0000 0.0000
Zr: 0.3166 0.5000 0.6372
Co: 0.5474 0.5000 0.0936
Hg: 0.7184 0.0000 0.4394

Properties
SG ... Pm, No. 6
ΔH_f (0 K) ... -44 kJ/mol of formula units



Entry 4:
Density functional theory data (PBE-GGA) for a geometry-optimized RbTm2CuTe4 structure.

Lattice parameters (Å, degrees): 7.9028 7.9028 15.4133 90.00 90.00 147.89
Element x y z (fractional)
Rb: 0.1142 0.8858 0.7500
Rb: 0.8858 0.1142 0.2500
Tm: 0.3667 0.6333 0.5652
Tm: 0.3667 0.6333 0.9348
Tm: 0.6333 0.3667 0.0652
Tm: 0.6333 0.3667 0.4348
Cu: 0.1626 0.8374 0.2500
Cu: 0.8374 0.1626 0.7500
Te: 0.0000 0.0000 0.0000
Te: 0.0000 0.0000 0.5000
Te: 0.2631 0.7369 0.1087
Te: 0.2631 0.7369 0.3913
Te: 0.4326 0.5674 0.7500
Te: 0.5674 0.4326 0.2500
Te: 0.7369 0.2631 0.6087
Te: 0.7369 0.2631 0.8913

Properties
Formation energy (no corrections) ... -1.101 eV/atom
SG ... Cmcm, No. 63



Entry 5:
Density functional theory data (PBE-GGA) for a geometry-optimized YFe3Hg structure.

Lattice parameters (Å, degrees): 4.8553 4.8553 4.8553 90.00 90.00 90.00
Element x y z (fractional)
Y: 0.0000 0.0000 0.0000
Fe: 0.0000 0.5000 0.5000
Fe: 0.5000 0.0000 0.5000
Fe: 0.5000 0.5000 0.0000
Hg: 0.5000 0.5000 0.5000

Properties
SG ... Pm-3m, No. 221
ΔH_f (0 K) ... 526 kJ/mol of formula units
ΔE to the lowest computed polymorph ... 0.00 eV per formula unit



Entry 6:
Density functional theory data (PBE-GGA) for a geometry-optimized MnReTc2 structure.

Lattice parameters (Å, degrees): 2.7129 3.8012 5.4223 90.00 90.00 90.00
Element x y z (fractional)
Mn: 0.0000 0.0000 0.0000
Re: 0.5000 0.5000 0.2386
Tc: 0.0000 0.0000 0.5017
Tc: 0.5000 0.5000 0.7599

Properties
SG ... Pmm2, No. 25
ΔH_f (0 K) ... 37 kJ/mol of formula units



Entry 7:
Density functional theory data (PBE-GGA) for a geometry-optimized AlZnTc structure.

Lattice parameters (Å, degrees): 2.6811 4.3131 7.4436 90.00 90.18 90.00
Element x y z (fractional)
Al: 0.0087 0.2500 0.0939
Al: 0.9913 0.7500 0.9061
Zn: 0.0418 0.7500 0.5727
Zn: 0.9582 0.2500 0.4273
Tc: 0.4982 0.2500 0.7655
Tc: 0.5018 0.7500 0.2345

Properties
SG ... P2_1/m, No. 11
ΔH_f (0 K) ... -41 kJ/mol of formula units
ΔE to the lowest computed polymorph ... 0.09 eV per formula unit



Entry 8:
Density functional theory data (PBE-GGA) for a geometry-optimized Ba4SmCu3O9 structure.

Lattice parameters (Å, degrees): 8.2215 8.2215 8.2215 90.00 90.00 90.00
Element x y z (fractional)
Ba: 0.2500 0.2500 0.2500
Ba: 0.2500 0.2500 0.7500
Ba: 0.2500 0.7500 0.2500
Ba: 0.2500 0.7500 0.7500
Ba: 0.7500 0.2500 0.2500
Ba: 0.7500 0.2500 0.7500
Ba: 0.7500 0.7500 0.2500
Ba: 0.7500 0.7500 0.7500
Sm: 0.0000 0.0000 0.0000
Sm: 0.5000 0.5000 0.5000
Cu: 0.0000 0.0000 0.5000
Cu: 0.0000 0.5000 0.0000
Cu: 0.0000 0.5000 0.5000
Cu: 0.5000 0.0000 0.0000
Cu: 0.5000 0.0000 0.5000
Cu: 0.5000 0.5000 0.0000
O: 0.0000 0.0000 0.2762
O: 0.0000 0.0000 0.7238
O: 0.0000 0.2500 0.5000
O: 0.0000 0.2762 0.0000
O: 0.0000 0.7238 0.0000
O: 0.0000 0.7500 0.5000
O: 0.2238 0.5000 0.5000
O: 0.2500 0.5000 0.0000
O: 0.2762 0.0000 0.0000
O: 0.5000 0.0000 0.2500
O: 0.5000 0.0000 0.7500
O: 0.5000 0.2238 0.5000
O: 0.5000 0.5000 0.2238
O: 0.5000 0.5000 0.7762
O: 0.5000 0.7762 0.5000
O: 0.7238 0.0000 0.0000
O: 0.7500 0.5000 0.0000
O: 0.7762 0.5000 0.5000

Properties
Formation energy (no corrections) ... -1.981 eV/atom
SG ... Pm-3n, No. 223



Entry 9:
Density functional theory data (PBE-GGA) for a geometry-optimized LiHgAu6 structure.

Lattice parameters (Å, degrees): 5.9010 5.9010 4.8035 90.00 90.00 120.00
Element x y z (fractional)
Li: 0.0000 0.0000 0.0000
Hg: 0.6667 0.3333 0.5000
Au: 0.0042 0.5021 0.0000
Au: 0.1632 0.3265 0.5000
Au: 0.1632 0.8368 0.5000
Au: 0.4979 0.5021 0.0000
Au: 0.4979 0.9958 0.0000
Au: 0.6735 0.8368 0.5000

Properties
SG ... P-6m2, No. 187
ΔH_f (0 K) ... -97 kJ/mol of formula units
ΔE to the lowest computed polymorph ... 0.22 eV per formula unit



Entry 10:
Density functional theory data (PBE-GGA) for a geometry-optimized Na5Ca6Nd5Zr16O48 structure.

Lattice parameters (Å, degrees): 5.6658 32.6352 5.8506 90.00 90.11 90.00
Element x y z (fractional)
Na: 0.0000 0.0000 0.0000
Na: 0.4754 0.2503 0.5029
Na: 0.4754 0.7497 0.5029
Na: 0.9858 0.3691 0.0408
Na: 0.9858 0.6309 0.0408
Ca: 0.4864 0.3695 0.5846
Ca: 0.4864 0.6305 0.5846
Ca: 0.5024 0.1229 0.5716
Ca: 0.5024 0.8771 0.5716
Ca: 0.9759 0.1264 0.0714
Ca: 0.9759 0.8736 0.0714
Nd: 0.4703 0.5000 0.4897
Nd: 0.4811 0.0000 0.4611
Nd: 0.9958 0.2493 0.9588
Nd: 0.9961 0.5000 0.9819
Nd: 0.9958 0.7507 0.9588
Zr: 0.4838 0.1862 0.0295
Zr: 0.4838 0.8138 0.0295
Zr: 0.4860 0.3114 0.0349
Zr: 0.4860 0.6886 0.0349
Zr: 0.4897 0.4342 0.0424
Zr: 0.4897 0.5658 0.0424
Zr: 0.4925 0.0625 0.0177
Zr: 0.4925 0.9375 0.0177
Zr: 0.9776 0.3115 0.5117
Zr: 0.9776 0.6885 0.5117
Zr: 0.9797 0.4344 0.5341
Zr: 0.9797 0.5656 0.5341
Zr: 0.9854 0.1866 0.5168
Zr: 0.9854 0.8134 0.5168
Zr: 0.9932 0.0629 0.5297
Zr: 0.9932 0.9371 0.5297
O: 0.0867 0.3751 0.5019
O: 0.0867 0.6249 0.5019
O: 0.0985 0.1249 0.4803
O: 0.0985 0.8751 0.4803
O: 0.1651 0.1988 0.2078
O: 0.1651 0.8012 0.2078
O: 0.1682 0.2982 0.2147
O: 0.1682 0.7018 0.2147
O: 0.1910 0.4547 0.2559
O: 0.1910 0.5453 0.2559
O: 0.2099 0.0485 0.2384
O: 0.2099 0.9515 0.2384
O: 0.2621 0.3002 0.7411
O: 0.2621 0.6998 0.7411
O: 0.2675 0.2013 0.7378
O: 0.2675 0.7987 0.7378
O: 0.2745 0.4538 0.7566
O: 0.2745 0.5462 0.7566
O: 0.3112 0.0501 0.7096
O: 0.3112 0.9499 0.7096
O: 0.3791 0.1244 0.9788
O: 0.3791 0.8756 0.9788
O: 0.3987 0.3752 0.9864
O: 0.3987 0.6248 0.9864
O: 0.5873 0.0000 0.0556
O: 0.5898 0.2491 0.0589
O: 0.5898 0.7509 0.0589
O: 0.5914 0.5000 0.0843
O: 0.6539 0.4276 0.3709
O: 0.6539 0.5724 0.3709
O: 0.6707 0.3270 0.3296
O: 0.6707 0.6730 0.3296
O: 0.6840 0.1695 0.3179
O: 0.6840 0.8305 0.3179
O: 0.6946 0.0740 0.3220
O: 0.6946 0.9260 0.3220
O: 0.7687 0.3216 0.8131
O: 0.7687 0.6784 0.8131
O: 0.7822 0.1753 0.8208
O: 0.7822 0.8247 0.8208
O: 0.7934 0.0796 0.8186
O: 0.7934 0.9204 0.8186
O: 0.7989 0.4296 0.8557
O: 0.7989 0.5704 0.8557
O: 0.8812 0.5000 0.5727
O: 0.8886 0.0000 0.5584
O: 0.8912 0.2492 0.5544
O: 0.8912 0.7508 0.5544

Properties
Formation energy (no corrections) ... -3.171 eV/atom
SG ... Pm, No. 6



Entry 11:
Density functional theory data (PBE-GGA) for a geometry-optimized Ca2CePmP4 structure.

Lattice parameters (Å, degrees): 7.0942 4.1477 7.1968 90.00 109.84 90.00
Element x y z (fractional)
Ca: 0.0000 0.0000 0.0000
Ca: 0.0000 0.5000 0.5000
Ce: 0.5000 0.0000 0.5000
Pm: 0.5000 0.5000 0.0000
P: 0.2604 0.0000 0.7488
P: 0.2649 0.5000 0.2601
P: 0.7351 0.5000 0.7399
P: 0.7396 0.0000 0.2512

Properties
SG ... P2/m, No. 10
ΔH_f (0 K) ... -952 kJ/mol of formula units



Entry 12:
Density functional theory data (PBE-GGA) for a geometry-optimized YIrBr structure.

Lattice parameters (Å, degrees): 4.6749 4.6749 4.6749 60.00 60.00 60.00
Element x y z (fractional)
Y: 0.0000 0.0000 0.0000
Ir: 0.2500 0.2500 0.2500
Br: 0.5000 0.5000 0.5000

Properties
Formation energy (no corrections) ... -0.230 eV/atom
SG ... F-43m, No. 216
ΔE to the lowest computed polymorph ... 3.06 eV per formula unit